DFT (PBE-GGA) results for crystalline Nd3TlH2 at its relaxed geometry.

Lattice parameters (Å, degrees): 4.7996 4.9286 10.9224 90.00 90.00 90.00
With the nearest neighbours (Å) after each atom.
Sites, in units of the cell vectors:
H: 0.2500 0.7500 0.5381  5 Nd 2.31-2.48
H: 0.7500 0.2500 0.4619  5 Nd 2.31-2.48
H: 0.2500 0.7500 0.9620  5 Nd 2.32-2.48
H: 0.7500 0.2500 0.0380  5 Nd 2.32-2.48
Nd: 0.2500 0.7497 0.7501  2 H 2.31-2.32
Nd: 0.7500 0.7500 0.4910  4 H 2.45-2.48
Nd: 0.2500 0.2500 0.5090  4 H 2.45-2.48
Nd: 0.2500 0.2500 0.9911  4 H 2.45-2.48
Nd: 0.7500 0.7500 0.0089  4 H 2.45-2.48
Nd: 0.7500 0.2503 0.2499  2 H 2.31-2.32
Tl: 0.7500 0.2495 0.7500  2 H 3.14-3.15, 4 Nd 3.44
Tl: 0.2500 0.7505 0.2500  2 H 3.14-3.15, 4 Nd 3.44

Summary:
DOS at the Fermi energy in states/eV/atom: 0.863
Crystal system: orthorhombic
SG: No. 71
E_tot in eV per atom: -4.31

DFT (PBE-GGA) results for crystalline PaMoH5 at its relaxed geometry.

Lattice parameters (Å, degrees): 4.6248 4.6248 6.2483 89.95 89.95 117.47
With the nearest neighbours (Å) after each atom.
Sites, in units of the cell vectors:
H: 0.8368 0.5766 0.5803  1 Mo 1.81, 1 H 1.99
H: 0.1632 0.4234 0.4197  1 Mo 1.81, 1 H 1.99
H: 0.8387 0.5770 0.9203  1 Mo 1.81, 1 H 1.99
H: 0.8641 0.1359 0.7500  2 Mo 1.90
H: 0.5770 0.8387 0.4203  1 Mo 1.81, 1 H 1.99
H: 0.4234 0.1632 0.9197  1 Mo 1.81, 1 H 1.99
H: 0.1613 0.4230 0.0797  1 Mo 1.81, 1 H 1.99
H: 0.4230 0.1613 0.5797  1 Mo 1.81, 1 H 1.99
H: 0.5766 0.8368 0.0803  1 Mo 1.81, 1 H 1.99
H: 0.1359 0.8641 0.2500  2 Mo 1.90
Mo: 0.0000 0.0000 0.0000  6 H 1.81-1.90
Mo: 0.0000 0.0000 0.5000  6 H 1.81-1.90
Pa: 0.6633 0.3367 0.2500  10 H 2.30-2.41
Pa: 0.3367 0.6633 0.7500  10 H 2.30-2.41

Summary:
DOS at the Fermi energy in states/eV/atom: 0.132
Crystal system: orthorhombic
SG: No. 63
E_tot in eV per atom: -5.56

DFT (PBE-GGA) results for crystalline Ce3YIr2 at its relaxed geometry.

Lattice parameters (Å, degrees): 4.0995 8.6035 9.4697 114.85 90.00 103.78
With the nearest neighbours (Å) after each atom.
Sites, in units of the cell vectors:
Ir: 0.2491 0.4982 0.8917  3 Ce 2.74-2.88, 2 Ir 2.89, 2 Y 2.96
Ir: 0.7509 0.5018 0.1083  3 Ce 2.74-2.88, 2 Ir 2.89, 2 Y 2.96
Ir: 0.4743 0.9487 0.8247  3 Ce 2.76-3.03, 1 Ir 3.05, 2 Y 3.08
Ir: 0.5257 0.0513 0.1753  3 Ce 2.76-3.03, 1 Ir 3.05, 2 Y 3.08
Y: 0.8889 0.7779 0.9630  7 Ir 2.96-3.16
Y: 0.1111 0.2221 0.0370  7 Ir 2.96-3.16
Ce: 0.7233 0.4465 0.3879  2 Ce 2.80, 2 Ir 2.88-3.03
Ce: 0.2767 0.5535 0.6121  2 Ce 2.80, 2 Ir 2.88-3.03
Ce: 0.3645 0.7291 0.2599  2 Ir 2.74
Ce: 0.6355 0.2709 0.7401  2 Ir 2.74
Ce: 0.0558 0.1115 0.3875  2 Ir 2.76
Ce: 0.9442 0.8885 0.6125  2 Ir 2.76

Summary:
DOS at the Fermi energy in states/eV/atom: 1.774
Crystal system: monoclinic
SG: No. 12
E_tot in eV per atom: -7.53
Formation enthalpy at 0 K in eV per atom: -0.532